Computed, not measured: a relaxed B2C crystal at the PBE-GGA level of DFT.

Unit cell a=8.515 b=2.744 c=7.323 alpha=90.00 beta=103.44 gamma=90.00
Space group Cm (No. 8)
Asymmetric unit:
B 0.000 0.000 0.000
B 0.006 0.500 0.163
B 0.049 0.000 0.489
B 0.206 0.500 0.315
B 0.229 0.500 0.900
B 0.260 0.000 0.455
B 0.291 0.000 0.196
B 0.434 0.500 0.234
C 0.181 0.000 0.978
C 0.364 0.500 0.790
C 0.391 0.000 0.695
C 0.489 0.000 0.560

Results
The crystal system is monoclinic. The calculation puts the density of states at the Fermi level at 0.086 states/eV per atom. For the volume, the calculation gives 166.4 Å³ per cell. As for the size of the total moment: 0.00 μB per atom. As for the calculated formation energy: 0.40 eV/atom. The calculation puts the energy above the most stable polymorph in this dataset at 0.210 eV/atom.

---

Computed, not measured: a relaxed MgVBi2 crystal at the PBE-GGA level of DFT.

Unit cell a=6.582 b=6.582 c=12.754 alpha=90.00 beta=90.00 gamma=90.00
Space group I-42d (No. 122)
Asymmetric unit:
Mg 0.000 0.000 0.000
V 0.000 0.000 0.500
Bi 0.214 0.250 0.625

Results
The crystal system is tetragonal. The calculation puts the density of states at the Fermi level at 1.004 states/eV per atom. For the volume, the calculation gives 552.6 Å³ per cell. As for the size of the total moment: 0.25 μB per atom. As for the calculated formation energy: 0.46 eV/atom.

---

Computed, not measured: a relaxed CeErLuHg crystal at the PBE-GGA level of DFT.

Unit cell a=7.445 b=7.445 c=7.445 alpha=90.00 beta=90.00 gamma=90.00
Space group F-43m (No. 216)
Asymmetric unit:
Ce 0.000 0.000 0.000
Er 0.250 0.250 0.750
Lu 0.250 0.250 0.250
Hg 0.000 0.000 0.500

Results
The crystal system is cubic. The calculation puts the density of states at the Fermi level at 1.735 states/eV per atom. For the volume, the calculation gives 412.7 Å³ per cell. As for the size of the total moment: 0.09 μB per atom. As for the calculated formation energy: 0.03 eV/atom.

---

Computed, not measured: a relaxed UPt3S8 crystal at the PBE-GGA level of DFT.

Unit cell a=12.170 b=7.035 c=7.710 alpha=90.00 beta=122.32 gamma=90.00
Space group C2/m (No. 12)
Asymmetric unit:
U 0.000 0.000 0.000
Pt 0.000 0.500 0.000
Pt 0.250 0.250 0.000
S 0.012 0.265 0.775
S 0.232 0.500 0.192
S 0.248 0.500 0.774

Results
Its uncorrected formation energy is -0.580 eV/atom. The crystal system is monoclinic. The calculation puts the density of states at the Fermi level at 0.440 states/eV per atom. For the volume, the calculation gives 557.8 Å³ per cell. As for the size of the total moment: 0.00 μB per atom.

---

Computed, not measured: a relaxed CsLi2Ga crystal at the PBE-GGA level of DFT.

Unit cell a=5.809 b=5.809 c=18.294 alpha=90.00 beta=90.00 gamma=90.00
Space group I4_1/amd (No. 141, origin choice 2)
Asymmetric unit:
Cs 0.000 0.250 0.375
Li 0.000 0.000 0.000
Ga 0.000 0.250 0.875

Results
The crystal system is tetragonal. The calculation puts the density of states at the Fermi level at 0.971 states/eV per atom. For the volume, the calculation gives 617.4 Å³ per cell. As for the size of the total moment: 0.00 μB per atom. As for the calculated formation energy: 0.17 eV/atom.

---

Computed, not measured: a relaxed CaIn6Au12 crystal at the PBE-GGA level of DFT.

Unit cell a=12.4390 b=12.4390 c=9.3317 alpha=90.00 beta=90.00 gamma=120.00
Space group R-3m (No. 166, hexagonal axes)
Asymmetric unit:
Ca 0.0000 0.0000 0.0000
In 0.0638 0.5319 0.2389
Au 0.0000 0.3872 0.5000
Au 0.0801 0.1602 0.2710

Results
The crystal system is trigonal. The calculation puts the density of states at the Fermi level at 0.258 states/eV per atom. For the volume, the calculation gives 1250.4 Å³ per cell. As for the size of the total moment: 0.00 μB per atom. As for the calculated formation energy: -0.19 eV/atom. The calculation puts the energy above the most stable polymorph in this dataset at 0.030 eV/atom.

---

Computed, not measured: a relaxed Y3NiCl3 crystal at the PBE-GGA level of DFT.

Unit cell a=6.6437 b=6.6437 c=30.9604 alpha=90.00 beta=90.00 gamma=120.00
Space group R-3 (No. 148, hexagonal axes)
Asymmetric unit:
Y 0.0000 0.3438 0.4484
Ni 0.0000 0.0000 0.1667
Cl 0.0000 0.3255 0.6076

Results
Its uncorrected formation energy is -1.396 eV/atom. The crystal system is trigonal. The calculation puts the density of states at the Fermi level at 0.450 states/eV per atom. For the volume, the calculation gives 1183.5 Å³ per cell. As for the size of the total moment: 0.00 μB per atom.

---

Computed, not measured: a relaxed Tl2Sb2Pt crystal at the PBE-GGA level of DFT.

Unit cell a=5.100 b=5.100 c=11.895 alpha=90.00 beta=90.00 gamma=90.00
Space group I4/mmm (No. 139)
Asymmetric unit:
Tl 0.000 0.500 0.250
Sb 0.000 0.000 0.114
Pt 0.000 0.000 0.500

Results
Its uncorrected formation energy is 0.745 eV/atom. The crystal system is tetragonal. The calculation puts the density of states at the Fermi level at 0.947 states/eV per atom. For the volume, the calculation gives 309.4 Å³ per cell. As for the size of the total moment: 0.00 μB per atom. The calculation puts the energy above the most stable polymorph in this dataset at 0.882 eV/atom.

---

Computed, not measured: a relaxed AcScInCu crystal at the PBE-GGA level of DFT.

Unit cell a=7.505 b=7.505 c=7.505 alpha=90.00 beta=90.00 gamma=90.00
Space group F-43m (No. 216)
Asymmetric unit:
Ac 0.000 0.000 0.000
Sc 0.000 0.000 0.500
In 0.250 0.250 0.750
Cu 0.250 0.250 0.250

Results
The crystal system is cubic. The calculation puts the density of states at the Fermi level at 0.932 states/eV per atom. For the volume, the calculation gives 422.7 Å³ per cell. As for the size of the total moment: 0.00 μB per atom. As for the calculated formation energy: -0.14 eV/atom.

---

Computed, not measured: a relaxed TcRuSCl2 crystal at the PBE-GGA level of DFT.

Unit cell a=4.956 b=4.956 c=4.435 alpha=90.00 beta=90.00 gamma=90.00
Space group P4/mmm (No. 123)
Asymmetric unit:
Tc 0.000 0.000 0.000
Ru 0.500 0.500 0.500
S 0.000 0.000 0.500
Cl 0.000 0.500 0.000

Results
Its uncorrected formation energy is 0.757 eV/atom. The crystal system is tetragonal. The calculation puts the density of states at the Fermi level at 0.716 states/eV per atom. For the volume, the calculation gives 108.9 Å³ per cell. As for the size of the total moment: 0.73 μB per atom. The calculation puts the energy above the most stable polymorph in this dataset at 0.056 eV/atom.

---

Computed, not measured: a relaxed SnS2ClF crystal at the PBE-GGA level of DFT.

Unit cell a=5.063 b=5.063 c=5.078 alpha=90.00 beta=90.00 gamma=90.00
Space group P4/mmm (No. 123)
Asymmetric unit:
Sn 0.000 0.000 0.000
S 0.000 0.500 0.000
Cl 0.000 0.000 0.500
F 0.500 0.500 0.500

Results
Its uncorrected formation energy is 0.201 eV/atom. The crystal system is tetragonal. The calculation puts the density of states at the Fermi level at 1.200 states/eV per atom. For the volume, the calculation gives 130.2 Å³ per cell. As for the size of the total moment: 0.47 μB per atom. The calculation puts the energy above the most stable polymorph in this dataset at 0.129 eV/atom.

---

Computed, not measured: a relaxed Sn3GeRh6 crystal at the PBE-GGA level of DFT.

Unit cell a=8.004 b=4.423 c=10.018 alpha=90.00 beta=112.23 gamma=90.00
Space group P2_1/m (No. 11)
Asymmetric unit:
Sn 0.063 0.250 0.198
Sn 0.333 0.250 0.030
Sn 0.360 0.750 0.369
Ge 0.137 0.750 0.589
Rh 0.030 0.250 0.676
Rh 0.143 0.750 0.081
Rh 0.230 0.250 0.486
Rh 0.284 0.750 0.853
Rh 0.466 0.750 0.654
Rh 0.469 0.250 0.819

Results
The crystal system is monoclinic. The calculation puts the density of states at the Fermi level at 0.533 states/eV per atom. For the volume, the calculation gives 328.3 Å³ per cell. As for the size of the total moment: 0.00 μB per atom. As for the calculated formation energy: -0.36 eV/atom.

---

Computed, not measured: a relaxed NbMoRu crystal at the PBE-GGA level of DFT.

Unit cell a=3.195 b=3.195 c=9.459 alpha=90.00 beta=90.00 gamma=90.00
Space group I4mm (No. 107)
Asymmetric unit:
Nb 0.000 0.000 0.000
Mo 0.000 0.000 0.665
Ru 0.000 0.000 0.334

Results
The crystal system is tetragonal. The calculation puts the density of states at the Fermi level at 1.113 states/eV per atom. For the volume, the calculation gives 96.6 Å³ per cell. As for the size of the total moment: 0.00 μB per atom. As for the calculated formation energy: 0.01 eV/atom. The calculation puts the energy above the most stable polymorph in this dataset at 0.105 eV/atom.

---

Computed, not measured: a relaxed Cr2CdW crystal at the PBE-GGA level of DFT.

Unit cell a=3.202 b=3.202 c=6.011 alpha=90.00 beta=90.00 gamma=90.00
Space group P4/mmm (No. 123)
Asymmetric unit:
Cr 0.000 0.000 0.200
Cd 0.500 0.500 0.500
W 0.500 0.500 0.000

Results
The crystal system is tetragonal. The calculation puts the density of states at the Fermi level at 0.870 states/eV per atom. For the volume, the calculation gives 61.6 Å³ per cell. As for the size of the total moment: 0.00 μB per atom. As for the calculated formation energy: 0.41 eV/atom.

---

Computed, not measured: a relaxed ZrTaCl2 crystal at the PBE-GGA level of DFT.

Unit cell a=2.949 b=5.869 c=8.917 alpha=90.00 beta=90.00 gamma=90.00
Space group Cmmm (No. 65)
Asymmetric unit:
Zr 0.000 0.000 0.000
Ta 0.000 0.000 0.500
Cl 0.000 0.500 0.257

Results
Its uncorrected formation energy is -0.125 eV/atom. The crystal system is orthorhombic. The calculation puts the density of states at the Fermi level at 1.058 states/eV per atom. For the volume, the calculation gives 154.4 Å³ per cell. As for the size of the total moment: 0.00 μB per atom. The calculation puts the energy above the most stable polymorph in this dataset at 0.752 eV/atom.

---

Computed, not measured: a relaxed Gd3Sc5H12 crystal at the PBE-GGA level of DFT.

Unit cell a=12.473 b=12.473 c=12.473 alpha=90.00 beta=90.00 gamma=90.00
Space group Ia-3d (No. 230)
Asymmetric unit:
Gd 0.000 0.250 0.125
Sc 0.000 0.000 0.000
Sc 0.000 0.250 0.375
H 0.013 0.064 0.651

Results
The crystal system is cubic. The calculation puts the density of states at the Fermi level at 0.582 states/eV per atom. For the volume, the calculation gives 1940.6 Å³ per cell. As for the size of the total moment: 1.18 μB per atom.

---

Computed, not measured: a relaxed CaMg2GaRh crystal at the PBE-GGA level of DFT.

Unit cell a=4.961 b=4.961 c=4.828 alpha=90.00 beta=90.00 gamma=90.00
Space group P4/mmm (No. 123)
Asymmetric unit:
Ca 0.000 0.000 0.000
Mg 0.000 0.500 0.500
Ga 0.500 0.500 0.000
Rh 0.500 0.500 0.500

Results
The crystal system is tetragonal. The calculation puts the density of states at the Fermi level at 0.561 states/eV per atom. For the volume, the calculation gives 118.8 Å³ per cell. As for the size of the total moment: 0.00 μB per atom. As for the calculated formation energy: -0.32 eV/atom.

---

Computed, not measured: a relaxed ThBeCoN crystal at the PBE-GGA level of DFT.

Unit cell a=3.720 b=3.720 c=7.715 alpha=90.00 beta=90.00 gamma=90.00
Space group P4/nmm (No. 129, origin choice 2)
Asymmetric unit:
Th 0.250 0.250 0.180
Be 0.250 0.250 0.650
Co 0.250 0.750 0.500
N 0.250 0.250 0.866

Results
Its uncorrected formation energy is -0.866 eV/atom. The crystal system is tetragonal. The calculation puts the density of states at the Fermi level at 0.563 states/eV per atom. For the volume, the calculation gives 106.7 Å³ per cell. As for the size of the total moment: 0.05 μB per atom.

---

Computed, not measured: a relaxed TbY6Pd3 crystal at the PBE-GGA level of DFT.

Unit cell a=11.406 b=13.276 c=7.261 alpha=90.00 beta=90.00 gamma=90.00
Space group Cmc2_1 (No. 36)
Asymmetric unit:
Tb 0.000 0.181 0.000
Y 0.000 0.270 0.476
Y 0.000 0.465 0.117
Y 0.169 0.039 0.627
Y 0.227 0.307 0.781
Pd 0.000 0.078 0.333
Pd 0.189 0.398 0.413

Results
The crystal system is orthorhombic. The calculation puts the density of states at the Fermi level at 1.134 states/eV per atom. For the volume, the calculation gives 1099.5 Å³ per cell. As for the size of the total moment: 0.00 μB per atom. As for the calculated formation energy: -0.50 eV/atom.

---

Computed, not measured: a relaxed AcPm4Sc crystal at the PBE-GGA level of DFT.

Unit cell a=5.052 b=5.052 c=9.595 alpha=90.00 beta=90.00 gamma=90.00
Space group P4/mmm (No. 123)
Asymmetric unit:
Ac 0.000 0.000 0.000
Pm 0.000 0.500 0.302
Sc 0.500 0.500 0.500

Results
The crystal system is tetragonal. The calculation puts the density of states at the Fermi level at 1.684 states/eV per atom. For the volume, the calculation gives 244.9 Å³ per cell. As for the size of the total moment: 0.00 μB per atom. As for the calculated formation energy: 0.61 eV/atom.

---

Number 1: calculated total energy -7.131 eV/atom. Number 2: calculated total energy -4.162 eV/atom. Number 3: calculated total energy -3.803 eV/atom. Number 4: calculated total energy -5.783 eV/atom. Number 5: calculated total energy -1.757 eV/atom. Number 6: calculated total energy -3.231 eV/atom. Number 7: calculated total energy -5.783 eV/atom. Number 8: calculated total energy -3.059 eV/atom. Number 9: calculated total energy -4.459 eV/atom. Number 10: calculated total energy -4.735 eV/atom. Number 11: calculated total energy -2.994 eV/atom. Number 12: calculated total energy -6.436 eV/atom. Number 13: calculated total energy -10.048 eV/atom. Number 14: calculated total energy -7.864 eV/atom. Number 15: calculated total energy -6.149 eV/atom. Number 16: calculated total energy -6.197 eV/atom. Number 17: calculated total energy -3.438 eV/atom. Number 18: calculated total energy -7.510 eV/atom. Number 19: calculated total energy -6.398 eV/atom. Number 20: calculated total energy -4.299 eV/atom.